Below is an optimized crystal structure of TeWBr3, with properties calculated at the GGA-PBE level.

* M_tot: 0.9 μB per formula unit
* calculated density: 6.26 g/cm³
* V: 29.239 A^3/atom
* raw formation energy: 0.5276 eV per atom
* energy above the lowest structure with this stoichiometry: 0.000 eV/atom

Cell and atoms, written as extended XYZ:
```
5
Lattice="5.268 0.000 0.000 0.000 5.268 0.000 0.000 0.000 5.268" Properties=species:S:1:pos:R:3 pbc="T T T"
Te 0.000 0.000 0.000
W 2.634 2.634 2.634
Br 0.000 2.634 2.634
Br 2.634 0.000 2.634
Br 2.634 2.634 0.000
```

=====

Below is an optimized crystal structure of TeW2Br, with properties calculated at the GGA-PBE level.

* M_tot: 0.0 μB per formula unit
* calculated density: 8.99 g/cm³
* V: 26.551 A^3/atom
* raw formation energy: 0.4070 eV per atom
* energy above the lowest structure with this stoichiometry: 0.000 eV/atom

Cell and atoms, written as extended XYZ:
```
8
Lattice="8.035 0.000 0.000 0.000 3.176 0.000 -2.649 0.000 8.324" Properties=species:S:1:pos:R:3 pbc="T T T"
Te 0.000 0.000 0.000
Te 4.018 1.588 0.000
W -0.257 0.000 6.737
W 1.917 0.000 5.560
W 3.760 1.588 6.737
W 5.934 1.588 5.560
Br 1.779 1.588 3.526
Br 5.797 0.000 3.526
```

=====

Below is an optimized crystal structure of TeW2Br, with properties calculated at the GGA-PBE level.

* M_tot: 0.0 μB per formula unit
* calculated density: 12.98 g/cm³
* V: 18.401 A^3/atom
* raw formation energy: 1.0270 eV per atom
* energy above the lowest structure with this stoichiometry: 0.620 eV/atom

Cell and atoms, written as extended XYZ:
```
8
Lattice="8.791 0.000 0.000 0.000 3.141 0.000 -1.137 0.000 5.331" Properties=species:S:1:pos:R:3 pbc="T T T"
Te 0.000 0.000 0.000
Te 4.396 1.570 0.000
W 1.893 1.570 1.369
W 1.366 0.000 3.962
W 6.288 0.000 1.369
W 5.761 1.570 3.962
Br -0.568 1.570 2.666
Br 3.827 0.000 2.666
```

=====

Below is an optimized crystal structure of TeWBr, with properties calculated at the GGA-PBE level.

* M_tot: 0.0 μB per formula unit
* calculated density: 8.56 g/cm³
* V: 25.292 A^3/atom
* raw formation energy: 0.3395 eV per atom
* energy above the lowest structure with this stoichiometry: 0.442 eV/atom

Cell and atoms, written as extended XYZ:
```
6
Lattice="3.244 0.000 0.000 0.000 3.244 0.000 0.000 0.000 14.419" Properties=species:S:1:pos:R:3 pbc="T T T"
Te 0.000 0.000 0.000
Te 1.622 1.622 7.209
W 0.000 0.000 5.568
W 1.622 1.622 12.777
Br 0.000 0.000 11.088
Br 1.622 1.622 3.878
```

=====

Below is an optimized crystal structure of TeWBr, with properties calculated at the GGA-PBE level.

* M_tot: 3.0 μB per formula unit
* calculated density: 7.66 g/cm³
* V: 28.290 A^3/atom
* raw formation energy: 1.4649 eV per atom
* energy above the lowest structure with this stoichiometry: 1.567 eV/atom

Cell and atoms, written as extended XYZ:
```
12
Lattice="6.976 0.000 0.000 0.000 6.976 0.000 0.000 0.000 6.976" Properties=species:S:1:pos:R:3 pbc="T T T"
Te 0.000 0.000 0.000
Te 0.000 3.488 3.488
Te 3.488 0.000 3.488
Te 3.488 3.488 0.000
W 1.744 1.744 5.232
W 1.744 5.232 1.744
W 5.232 1.744 1.744
W 5.232 5.232 5.232
Br 1.744 1.744 1.744
Br 1.744 5.232 5.232
Br 5.232 1.744 5.232
Br 5.232 5.232 1.744
```

=====

Below is an optimized crystal structure of TeW2Br, with properties calculated at the GGA-PBE level.

* M_tot: 0.0 μB per formula unit
* calculated density: 12.03 g/cm³
* V: 19.847 A^3/atom
* raw formation energy: 1.2855 eV per atom
* energy above the lowest structure with this stoichiometry: 0.878 eV/atom

Cell and atoms, written as extended XYZ:
```
8
Lattice="6.133 0.000 0.000 0.000 9.347 0.000 -0.744 0.000 2.770" Properties=species:S:1:pos:R:3 pbc="T T T"
Te 0.000 0.000 0.000
Te 3.067 4.674 0.000
W 1.533 2.337 0.000
W 1.533 7.010 0.000
W 4.600 2.337 0.000
W 4.600 7.010 0.000
Br 0.000 4.674 0.000
Br 3.067 0.000 0.000
```

=====

Below is an optimized crystal structure of TeW2Br, with properties calculated at the GGA-PBE level.

* M_tot: 0.8 μB per formula unit
* calculated density: 12.24 g/cm³
* V: 19.508 A^3/atom
* raw formation energy: 1.3963 eV per atom
* energy above the lowest structure with this stoichiometry: 0.989 eV/atom

Cell and atoms, written as extended XYZ:
```
16
Lattice="6.783 0.000 0.000 0.000 6.783 0.000 0.000 0.000 6.783" Properties=species:S:1:pos:R:3 pbc="T T T"
Te 0.000 0.000 0.000
Te 0.000 3.392 3.392
Te 3.392 0.000 3.392
Te 3.392 3.392 0.000
W 0.000 0.000 3.392
W 0.000 3.392 0.000
W 1.696 1.696 1.696
W 1.696 5.087 5.087
W 3.392 0.000 0.000
W 3.392 3.392 3.392
W 5.087 1.696 5.087
W 5.087 5.087 1.696
Br 1.696 1.696 5.087
Br 1.696 5.087 1.696
Br 5.087 1.696 1.696
Br 5.087 5.087 5.087
```

=====

Below is an optimized crystal structure of TeW2Br, with properties calculated at the GGA-PBE level.

* M_tot: 0.0 μB per formula unit
* calculated density: 12.22 g/cm³
* V: 19.534 A^3/atom
* raw formation energy: 1.3381 eV per atom
* energy above the lowest structure with this stoichiometry: 0.931 eV/atom

Cell and atoms, written as extended XYZ:
```
8
Lattice="3.122 0.000 0.000 0.000 5.497 0.000 0.000 0.000 9.105" Properties=species:S:1:pos:R:3 pbc="T T T"
Te 0.000 0.000 0.000
Te 1.561 2.749 0.000
W 0.000 2.749 2.231
W 0.000 2.749 6.874
W 1.561 0.000 2.231
W 1.561 0.000 6.874
Br 0.000 0.000 4.553
Br 1.561 2.749 4.553
```

=====

Below is an optimized crystal structure of TeW2Br, with properties calculated at the GGA-PBE level.

* M_tot: 0.0 μB per formula unit
* calculated density: 11.17 g/cm³
* V: 21.371 A^3/atom
* raw formation energy: 1.0711 eV per atom
* energy above the lowest structure with this stoichiometry: 0.664 eV/atom

Cell and atoms, written as extended XYZ:
```
16
Lattice="4.508 0.000 0.000 0.000 4.508 0.000 0.000 0.000 16.824" Properties=species:S:1:pos:R:3 pbc="T T T"
Te 0.000 0.000 0.000
Te 0.000 2.254 4.206
Te 2.254 0.000 12.618
Te 2.254 2.254 8.412
W 0.823 1.127 10.515
W 1.127 3.077 14.721
W 1.127 3.685 6.309
W 1.431 1.127 2.103
W 3.077 3.381 2.103
W 3.381 0.823 6.309
W 3.381 1.431 14.721
W 3.685 3.381 10.515
Br 0.000 0.000 8.412
Br 0.000 2.254 12.618
Br 2.254 0.000 4.206
Br 2.254 2.254 0.000
```

=====

Below is an optimized crystal structure of YTe2Br, with properties calculated at the GGA-PBE level.

* M_tot: 0.0 μB per formula unit
* calculated density: 5.14 g/cm³
* V: 34.225 A^3/atom
* raw formation energy: -0.7496 eV per atom
* energy above the lowest structure with this stoichiometry: 0.351 eV/atom

Cell and atoms, written as extended XYZ:
```
8
Lattice="4.698 0.000 0.000 0.000 5.145 0.000 0.000 0.000 11.328" Properties=species:S:1:pos:R:3 pbc="T T T"
Y 0.000 0.000 0.000
Y 2.349 2.572 0.000
Te 0.000 0.000 5.777
Te 0.000 2.572 1.951
Te 2.349 0.000 1.951
Te 2.349 2.572 5.777
Br 0.000 2.572 9.525
Br 2.349 0.000 9.525
```

=====

Below is an optimized crystal structure of YTeBr, with properties calculated at the GGA-PBE level.

* M_tot: 0.0 μB per formula unit
* calculated density: 5.08 g/cm³
* V: 32.295 A^3/atom
* raw formation energy: -1.4213 eV per atom

Cell and atoms, written as extended XYZ:
```
12
Lattice="7.291 0.000 0.000 0.000 7.291 0.000 0.000 0.000 7.291" Properties=species:S:1:pos:R:3 pbc="T T T"
Y 0.000 0.000 0.000
Y 0.000 3.645 3.645
Y 3.645 0.000 3.645
Y 3.645 3.645 0.000
Te 1.823 1.823 1.823
Te 1.823 5.468 5.468
Te 5.468 1.823 5.468
Te 5.468 5.468 1.823
Br 1.823 1.823 5.468
Br 1.823 5.468 1.823
Br 5.468 1.823 1.823
Br 5.468 5.468 5.468
```

=====

Below is an optimized crystal structure of YTeBr3, with properties calculated at the GGA-PBE level.

* M_tot: 2.0 μB per formula unit
* calculated density: 4.25 g/cm³
* V: 35.639 A^3/atom
* raw formation energy: -0.9476 eV per atom
* energy above the lowest structure with this stoichiometry: 0.000 eV/atom

Cell and atoms, written as extended XYZ:
```
5
Lattice="5.627 0.000 0.000 0.000 5.627 0.000 0.000 0.000 5.627" Properties=species:S:1:pos:R:3 pbc="T T T"
Y 0.000 0.000 0.000
Te 2.814 2.814 2.814
Br 0.000 0.000 2.814
Br 0.000 2.814 0.000
Br 2.814 0.000 0.000
```